VASP calculation (PBE-GGA) on a relaxed Na2BiO crystal.

Density, Mg/m³: 5.175
Raw formation energy, eV per formula unit: -2.42
Relative energy among the computed polymorphs, eV per atom: 0.0000

Cell and atoms, written as CIF:
```
data_Na2BiO
_chemical_formula_sum 'Na8 Bi4 O4'
_space_group_name_H-M_alt 'I -4 2 d'
_space_group_IT_number 122
_space_group_name_Hall 'I -4 2bw'
_cell_length_a 8.345
_cell_length_b 8.345
_cell_length_c 4.994
_cell_angle_alpha 90.00
_cell_angle_beta 90.00
_cell_angle_gamma 90.00
loop_
_atom_site_label
_atom_site_type_symbol
_atom_site_fract_x
_atom_site_fract_y
_atom_site_fract_z
Na1 Na 0.123 0.250 0.125
Bi1 Bi 0.000 0.000 0.500
O1 O 0.000 0.000 0.000
```

---

VASP calculation (PBE-GGA) on a relaxed CeY12Ho3 crystal.

Density, Mg/m³: 5.507
DFT formation energy, eV/atom: 0.0376

Cell and atoms, written as CIF:
```
data_CeY12Ho3
_chemical_formula_sum 'Ce1 Y12 Ho3'
_space_group_name_H-M_alt 'P 4/m m m'
_space_group_IT_number 123
_space_group_name_Hall '-P 4 2'
_cell_length_a 5.044
_cell_length_b 5.044
_cell_length_c 20.165
_cell_angle_alpha 90.00
_cell_angle_beta 90.00
_cell_angle_gamma 90.00
loop_
_atom_site_label
_atom_site_type_symbol
_atom_site_fract_x
_atom_site_fract_y
_atom_site_fract_z
Ce1 Ce 0.000 0.000 0.000
Y1 Y 0.000 0.500 0.125
Y2 Y 0.000 0.500 0.375
Y3 Y 0.500 0.500 0.000
Y4 Y 0.500 0.500 0.251
Y5 Y 0.500 0.500 0.500
Ho1 Ho 0.000 0.000 0.249
Ho2 Ho 0.000 0.000 0.500
```